Here is crystalline TaMnI2O at its relaxed geometry from Alexandria. Energies are from PBE with a Hubbard U.

The calculation puts the energy above the most stable polymorph in this dataset at 0 meV/atom. The calculation puts the total magnetization at 6.6 Bohr magnetons per cell.

The structure belongs to space group P4/mmm (No. 123); the cell edges are 5.822, 5.822 and 3.901 Å and the angles 90.00°, 90.00° and 90.00°. The distinct sites, in fractional coordinates, are Ta at (0.000, 0.000, 0.000), Mn at (0.500, 0.500, 0.500), I at (0.000, 0.500, 0.000) and O at (0.000, 0.000, 0.500).